PmThPS PBE optimized geometry; DFT total energy = -7.183 eV per atom; symmetry = No. 123
1.0
4.0837 0.0000 0.0000
0.0000 4.0837 0.0000
0.0000 0.0000 5.7810
Pm Th P S
1 1 1 1
Direct
0.0000 0.0000 0.0000
0.5000 0.5000 0.5000
0.5000 0.5000 0.0000
0.0000 0.0000 0.5000

=====

SrTcBr2 PBE optimized geometry; polymorph energy (0 for the lowest one) = 0.000 eV/atom; symmetry = No. 71
1.0
-1.8781 2.5985 6.1346
1.8781 -2.5985 6.1346
1.8781 2.5985 -6.1346
Sr Tc Br
1 1 2
Direct
0.0000 0.0000 0.0000
0.5000 0.5000 0.0000
0.3534 0.8534 0.5000
0.6466 0.1466 0.5000

=====

Calculated magnetization (μB per formula unit), listed in the same order as above: 0.0, 1.0